Record 1
Density functional theory data (GGA-PBE) for a geometry-optimized SrMg2ScPt structure.

The space group is P4/mmm (No. 123) and the conventional cell measures 5.215, 5.215 and 5.074 Å, with angles of 90.00, 90.00 and 90.00 degrees. The distinct sites, in fractional coordinates, are Sr at (0.000, 0.000, 0.000), Mg at (0.000, 0.500, 0.500), Sc at (0.500, 0.500, 0.000) and Pt at (0.500, 0.500, 0.500).

As for the uncorrected energy: -3.848 eV per atom.

Record 2
Density functional theory data (GGA-PBE) for a geometry-optimized ThSN structure.

The space group is Pnma (No. 62) and the conventional cell measures 10.084, 4.200 and 6.360 Å, with angles of 90.00, 90.00 and 90.00 degrees. The distinct sites, in fractional coordinates, are Th at (0.080, 0.250, 0.213), S at (0.156, 0.750, 0.519) and N at (0.038, 0.750, 0.092).

As for the uncorrected energy: -7.943 eV per atom. The value obtained for the uncorrected formation energy is -1.319 eV/atom.

Record 3
Density functional theory data (GGA-PBE) for a geometry-optimized CaCuMo2Ir structure.

The space group is P4/mmm (No. 123) and the conventional cell measures 4.567, 4.567 and 4.737 Å, with angles of 90.00, 90.00 and 90.00 degrees. The distinct sites, in fractional coordinates, are Ca at (0.000, 0.000, 0.000), Cu at (0.500, 0.500, 0.500), Mo at (0.000, 0.500, 0.500) and Ir at (0.500, 0.500, 0.000).

As for the uncorrected energy: -6.104 eV per atom.

Record 4
Density functional theory data (GGA-PBE) for a geometry-optimized HgSbBr structure.

The space group is I4mm (No. 107) and the conventional cell measures 4.250, 4.250 and 11.902 Å, with angles of 90.00, 90.00 and 90.00 degrees. The distinct sites, in fractional coordinates, are Hg at (0.000, 0.000, 0.000), Sb at (0.000, 0.000, 0.504) and Br at (0.000, 0.000, 0.723).

As for the uncorrected energy: -2.147 eV per atom. The value obtained for the uncorrected formation energy is -0.115 eV/atom.

Record 5
Density functional theory data (GGA-PBE) for a geometry-optimized Nd3Sm2Se6 structure.

The space group is C2/m (No. 12) and the conventional cell measures 7.280, 12.561 and 7.228 Å, with angles of 90.00, 109.54 and 90.00 degrees. The distinct sites, in fractional coordinates, are Nd at (0.000, 0.000, 0.000), Nd at (0.000, 0.336, 0.000), Sm at (0.000, 0.166, 0.500), Se at (0.247, 0.334, 0.745) and Se at (0.249, 0.500, 0.260).

As for the uncorrected energy: -5.946 eV per atom. The value obtained for the uncorrected formation energy is -1.887 eV/atom.

Record 6
Density functional theory data (GGA-PBE) for a geometry-optimized KSnS2N structure.

The space group is P4/mmm (No. 123) and the conventional cell measures 5.167, 5.167 and 4.339 Å, with angles of 90.00, 90.00 and 90.00 degrees. The distinct sites, in fractional coordinates, are K at (0.000, 0.000, 0.000), Sn at (0.500, 0.500, 0.500), S at (0.000, 0.500, 0.500) and N at (0.500, 0.500, 0.000).

As for the uncorrected energy: -4.138 eV per atom. The value obtained for the uncorrected formation energy is 0.199 eV/atom.